(1)
DFT (PBE-GGA) results for an optimized crystal structure of Nd5TmIn5.

Density of states at the Fermi level in states/eV/f.u.: 11.85
Formation energy from the elements in eV per atom: -0.2385

a b c (Å): 9.4733 9.4733 7.0584
angles (deg): 111.78 111.78 35.75
Fractional coordinates of all 11 atoms:
Nd1 0.0000 0.0000 0.0000
Nd2 0.3108 0.3108 0.3100
Nd3 0.3608 0.3608 0.8597
Nd4 0.6392 0.6392 0.1403
Nd5 0.6892 0.6892 0.6900
Tm1 0.0000 0.0000 0.5000
In1 0.1621 0.1621 0.4413
In2 0.1621 0.1621 0.8830
In3 0.5000 0.5000 0.5000
In4 0.8379 0.8379 0.1170
In5 0.8379 0.8379 0.5587

---

(2)
DFT (PBE-GGA) results for an optimized crystal structure of CePuSnPb.

Density of states at the Fermi level in states/eV/f.u.: 11.21
Distance to the lowest polymorph of the same formula in meV per atom: 0.0
Formation energy from the elements in eV per atom: -0.3960

a b c (Å): 4.1945 4.1945 6.3353
angles (deg): 90.00 90.00 90.00
Fractional coordinates of all 4 atoms:
Ce1 0.0000 0.0000 0.0000
Pu1 0.0000 0.0000 0.4614
Sn1 0.5000 0.5000 0.2330
Pb1 0.5000 0.5000 0.7285